# 1
This record from the Alexandria database describes a crystal of TaTl2Rh relaxed with PBEsol. The functional is meta-GGA SCAN.

energy relative to the lowest polymorph listed for this composition	144	kJ/mol of formula units

Cell: 3.1688 3.1688 7.3222 Å, 90.00 90.00 90.00°
Closest atoms and distances in Å follow each position.
Space group P4/mmm (No. 123)
Inequivalent atoms, fractional coordinates:
Ta1 0.0000 0.0000 0.0000 (multiplicity 1)  8 Tl 2.99, 4 Ta 3.17
Tl1 0.5000 0.5000 0.2694 (multiplicity 2)  4 Rh 2.81, 4 Ta 2.99
Rh1 0.0000 0.0000 0.5000 (multiplicity 1)  8 Tl 2.81

---

# 2
This record from the Alexandria database describes a crystal of CsLiHf3 relaxed with PBEsol. The functional is meta-GGA SCAN.

Cell: 4.9384 4.9384 4.9384 Å, 90.00 90.00 90.00°
Closest atoms and distances in Å follow each position.
Space group Pm-3m (No. 221)
Inequivalent atoms, fractional coordinates:
Cs1 0.0000 0.0000 0.0000 (multiplicity 1)  12 Hf 3.49
Li1 0.5000 0.5000 0.5000 (multiplicity 1)  6 Hf 2.47
Hf1 0.0000 0.5000 0.5000 (multiplicity 3)  2 Li 2.47

---

What did we get for density of states at the Fermi level? Answer: 2.1, 5.3 states/eV/cell, in the order shown.
What did we get for formation enthalpy at 0 K? Answer: 445, 1467 meV per atom, in the order shown.